(1)
The following is a DFT calculation (PBE) of crystalline TmLuIr at its relaxed geometry.

Lattice parameters (Å, degrees): 6.690 6.690 6.690 150.61 150.61 42.05
Sites, in units of the cell vectors:
1 Tm 0.000 0.000 0.000
2 Lu 0.260 0.260 0.000
3 Ir 0.632 0.632 0.000

SG = I4mm
Total moment = 0.0000 μB per atom
ΔE to the lowest computed polymorph = 12.63 kJ/mol of atoms

***

(2)
The following is a DFT calculation (PBE) of crystalline TmLu2Ir at its relaxed geometry.

Lattice parameters (Å, degrees): 9.484 9.484 9.484 22.80 22.80 22.80
Sites, in units of the cell vectors:
1 Tm 0.000 0.000 0.000
2 Lu 0.225 0.225 0.225
3 Lu 0.775 0.775 0.775
4 Ir 0.500 0.500 0.500

SG = R-3m
Total moment = 0.1655 μB per atom
ΔE to the lowest computed polymorph = 14.75 kJ/mol of atoms

***

Which value of total moment does entry 1 give?
0.0000 μB per atom

***

Which of these has the lowest total moment?
TmLuIr

***

Which value of ΔE to the lowest computed polymorph does entry 1 give?
12.63 kJ/mol of atoms

***

The lowest total moment belongs to which entry?
TmLuIr